[1]
Computed, not measured: LaRe2Se after structural relaxation at the PBE level of DFT.

Geometry as POSCAR:
```
LaRe2Se
1.0
-0.8452 -1.9646 2.6148
-3.3250 -1.7157 -2.3639
3.2448 -3.7999 -1.8061
Se La Re
1 1 2
direct
0.5000 0.0000 0.5000
0.0000 0.5000 0.5000
0.0000 0.0000 0.0000
0.5000 0.5000 0.0000
```

Values from the calculation:
Total magnetization = 0.00 μB per cell
Crystal system = orthorhombic
Formation energy (no corrections) = 0.38 eV/atom

[2]
Computed, not measured: Co2TcP after structural relaxation at the PBE level of DFT.

Geometry as POSCAR:
```
Co2TcP
1.0
7.8234 0.0090 0.0053
7.3469 2.6886 0.0053
7.3469 1.3064 2.3498
Co Tc P
2 1 1
direct
0.9965 0.9965 0.9965
0.2444 0.2444 0.2444
0.7550 0.7550 0.7550
0.5042 0.5042 0.5042
```

Values from the calculation:
Total magnetization = 2.82 μB per cell
Crystal system = trigonal
Energy of formation = 0.042 eV per atom

[3]
Computed, not measured: K2TcBr2 after structural relaxation at the PBE level of DFT.

Geometry as POSCAR:
```
K2TcBr2
1.0
4.4167 1.3220 5.8907
-3.9140 -0.5070 6.3545
0.6757 -4.5697 -5.8836
Br K Tc
2 2 1
direct
0.2500 0.7500 0.5000
0.7500 0.2500 0.5000
0.3311 0.3311 0.0000
0.6689 0.6689 0.0000
0.0000 0.0000 0.0000
```

Values from the calculation:
Total magnetization = 5.00 μB per cell
Crystal system = tetragonal
Formation energy (no corrections) = 0.04 eV/atom

[4]
Computed, not measured: Th3ScZn4 after structural relaxation at the PBE level of DFT.

Geometry as POSCAR:
```
Th3ScZn4
1.0
-1.5042 2.6266 -1.7974
-3.1158 -1.6208 0.2390
-2.7539 7.1813 12.7988
Th Zn Sc
3 4 1
direct
0.5000 0.5000 0.2389
0.5000 0.5000 0.5000
0.5000 0.5000 0.7611
0.0000 0.0000 0.6311
0.0000 0.0000 0.9012
0.0000 0.0000 0.3689
0.0000 0.0000 0.0988
0.5000 0.5000 0.0000
```

Values from the calculation:
Total magnetization = 0.00 μB per cell
Crystal system = tetragonal
Energy of formation = -0.211 eV per atom

[5]
Computed, not measured: Pm8PrSc5 after structural relaxation at the PBE level of DFT.

Geometry as POSCAR:
```
Pm8PrSc5
1.0
-7.8615 2.6932 1.4666
0.7111 -8.2351 -0.1552
4.1114 3.9580 6.2144
Pm Sc Pr
8 5 1
direct
0.7091 0.3644 0.9101
0.5460 0.6359 0.3445
0.1231 0.6557 0.9276
0.7459 0.2418 0.3122
0.0704 0.7585 0.5042
0.5245 0.8909 0.7951
0.2721 0.3446 0.4673
0.9039 0.1092 0.6336
0.0646 0.3503 0.1127
0.7624 0.6497 0.7142
0.9215 0.8872 0.1721
0.4076 0.0002 0.4076
0.2850 0.1128 0.0346
0.4142 0.4986 0.9142
```

Values from the calculation:
Total magnetization = 0.00 μB per cell
Crystal system = triclinic
Energy of formation = 0.200 eV per atom

[6]
Computed, not measured: Sr2AcPtO6 after structural relaxation at the PBE level of DFT.

Geometry as POSCAR:
```
Sr2AcPtO6
1.0
5.9912 0.0000 -0.1007
0.0000 6.1393 -0.0001
-0.0936 -0.0001 8.5483
Ac O Pt Sr
2 12 2 4
direct
0.0000 0.5000 0.5000
0.5000 0.0000 0.0000
0.1033 0.4606 0.7782
0.8205 0.7684 0.9392
0.3967 0.9606 0.7218
0.8967 0.5394 0.2218
0.7673 0.8107 0.5538
0.7327 0.3108 0.9462
0.6795 0.2684 0.5608
0.2673 0.6892 0.0538
0.3205 0.7316 0.4392
0.2327 0.1893 0.4462
0.1795 0.2316 0.0608
0.6033 0.0394 0.2782
0.0000 0.5000 0.0000
0.5000 0.0000 0.5000
0.0193 0.9511 0.2484
0.5193 0.5489 0.7484
0.9807 0.0489 0.7516
0.4807 0.4511 0.2516
```

Values from the calculation:
Total magnetization = 2.10 μB per cell
Crystal system = monoclinic
Formation energy (no corrections) = -2.13 eV/atom